First-principles (PBE) data for an optimized crystal structure of AcLa2In2Cu2, as listed in the Alexandria database.

a b c (Å): 4.727 4.727 10.114
angles (deg): 76.49 76.49 60.00
Fractional coordinates of all 7 atoms:
Ac: 0.000 0.000 0.000
La: 0.137 0.137 0.590
La: 0.863 0.863 0.410
In: 0.741 0.741 0.776
In: 0.259 0.259 0.224
Cu: 0.583 0.583 0.250
Cu: 0.417 0.417 0.750

Output
Final energy   -4.217 eV per atom
Formation energy from the elements   -269 meV per atom
V   26.92 A^3/atom
Space group   R-3m (166)